(1)
Entry from Alexandria: crystalline Na3LaU2S6 at its relaxed geometry (PBE).

POSCAR file:
```
Na3LaU2S6
1.0
7.027 -0.002 -0.002
-3.513 6.085 -0.002
-1.174 -2.033 6.732
Na S U La
3 6 2 1
Cartesian
-2.357 4.062 3.364
1.170 2.025 3.364
4.696 -0.012 3.364
2.295 3.973 1.569
3.559 1.938 5.172
2.439 -0.001 1.556
-1.219 2.112 1.556
-0.100 4.051 5.172
0.045 0.077 5.158
3.513 2.028 -0.002
0.001 4.056 -0.002
0.000 0.000 0.000
```



(2)
Entry from Alexandria: crystalline NaLa2US5 at its relaxed geometry (PBE).

POSCAR file:
```
NaLa2US5
1.0
-2.227 3.083 -3.318
-6.304 -3.206 1.253
2.937 4.710 6.243
S Na La U
5 1 2 1
Cartesian
-2.581 2.437 3.996
0.711 4.110 3.342
0.000 0.000 0.000
-6.304 0.477 0.836
-3.013 2.151 0.181
-3.152 -1.603 0.626
-0.541 1.895 2.124
-5.052 2.692 2.054
-1.113 1.541 -1.659
```



(3)
Entry from Alexandria: crystalline NaLa4Y3S8 at its relaxed geometry (PBE).

POSCAR file:
```
NaLa4Y3S8
1.0
-4.795 1.415 -6.353
-3.266 -7.386 0.820
0.023 5.111 6.264
S La Y Na
8 4 3 1
Cartesian
-3.563 -2.553 2.121
-2.112 -1.543 -1.342
-3.547 -0.019 5.225
-4.491 -0.841 -4.493
-5.926 0.683 2.073
-4.475 1.693 -1.389
-2.093 0.997 1.802
-5.945 -1.857 -1.070
0.012 2.555 3.132
-2.398 0.707 -3.177
0.000 0.000 0.000
-2.386 3.263 -0.044
-1.621 -1.137 3.542
-4.031 -2.985 -2.766
-4.019 -0.430 0.366
-1.633 -3.693 0.410
```



(4)
Entry from Alexandria: crystalline Na3La2ZrS6 at its relaxed geometry (PBE).

POSCAR file:
```
Na3La2ZrS6
1.0
-6.915 0.827 -0.784
2.558 -2.616 5.977
1.919 6.812 0.780
La Na S Zr
2 3 6 1
Cartesian
-3.762 -0.319 1.466
-0.595 -1.470 3.727
-1.219 2.512 2.986
1.945 1.362 5.244
-4.382 3.661 0.728
-0.415 3.324 5.625
-2.022 1.700 0.348
0.475 4.845 1.802
-3.329 4.383 3.545
0.892 0.640 2.428
-2.912 0.178 4.170
0.000 0.000 0.000
```



Number 1: ΔE_f (raw) -1499 meV per atom. Number 2: ΔE_f (raw) -1648 meV per atom. Number 3: ΔE_f (raw) -2022 meV per atom. Number 4: ΔE_f (raw) -1688 meV per atom.